i | Entry from the Alexandria database: a relaxed SiSbPb2 crystal (PBE). Values from VASP.

Structure (Quantum ESPRESSO input):
```
&SYSTEM
  ibrav = 0, nat = 4, ntyp = 3
/
ATOMIC_SPECIES
Si 28.09 Si.upf
Sb 121.76 Sb.upf
Pb 207.20 Pb.upf
ATOMIC_POSITIONS angstrom
Si 0.0000 0.0000 0.0000
Sb 1.7934 1.7934 6.9808
Pb 0.0000 0.0000 4.5431
Pb 1.7934 1.7934 2.0852
CELL_PARAMETERS angstrom
3.5868 0.0000 0.0000
0.0000 3.5868 0.0000
0.0000 0.0000 8.3071
```

***

ii | Entry from the Alexandria database: a relaxed SiSbPb2 crystal (PBE). Values from VASP.

Structure (Quantum ESPRESSO input):
```
&SYSTEM
  ibrav = 0, nat = 4, ntyp = 3
/
ATOMIC_SPECIES
Si 28.09 Si.upf
Sb 121.76 Sb.upf
Pb 207.20 Pb.upf
ATOMIC_POSITIONS angstrom
Si 0.0000 0.0000 0.0000
Sb 2.5605 2.5605 0.0000
Pb 0.0000 2.5605 2.0755
Pb 2.5605 0.0000 2.0755
CELL_PARAMETERS angstrom
5.1210 0.0000 0.0000
0.0000 5.1210 0.0000
0.0000 0.0000 4.1511
```

***

Least stable of them? ii.

***

i | Entry from the Alexandria database: a relaxed SiSbPb2 crystal (PBE). Values from VASP.

Structure (Quantum ESPRESSO input):
```
&SYSTEM
  ibrav = 0, nat = 16, ntyp = 3
/
ATOMIC_SPECIES
Si 28.09 Si.upf
Sb 121.76 Sb.upf
Pb 207.20 Pb.upf
ATOMIC_POSITIONS angstrom
Si 0.0000 0.0000 0.0000
Si 0.0000 3.7599 3.7599
Si 3.7599 0.0000 3.7599
Si 3.7599 3.7599 0.0000
Sb 1.8799 1.8799 5.6398
Sb 1.8799 5.6398 1.8799
Sb 5.6398 1.8799 1.8799
Sb 5.6398 5.6398 5.6398
Pb 0.0000 0.0000 3.7599
Pb 0.0000 3.7599 0.0000
Pb 1.8799 1.8799 1.8799
Pb 1.8799 5.6398 5.6398
Pb 3.7599 0.0000 0.0000
Pb 3.7599 3.7599 3.7599
Pb 5.6398 1.8799 5.6398
Pb 5.6398 5.6398 1.8799
CELL_PARAMETERS angstrom
7.5198 0.0000 0.0000
0.0000 7.5198 0.0000
0.0000 0.0000 7.5198
```

***

ii | Entry from the Alexandria database: a relaxed SiSbPb2 crystal (PBE). Values from VASP.

Structure (Quantum ESPRESSO input):
```
&SYSTEM
  ibrav = 0, nat = 12, ntyp = 3
/
ATOMIC_SPECIES
Si 28.09 Si.upf
Sb 121.76 Sb.upf
Pb 207.20 Pb.upf
ATOMIC_POSITIONS angstrom
Si 0.0000 0.0000 0.0000
Si 0.0000 2.0164 20.5380
Si 1.7462 1.0082 10.2690
Sb 0.0000 0.0000 15.4035
Sb 0.0000 2.0164 5.1345
Sb 1.7462 1.0082 25.6725
Pb 0.0000 0.0000 7.9729
Pb 0.0000 0.0000 22.8341
Pb 0.0000 2.0164 12.5651
Pb 0.0000 2.0164 28.5109
Pb 1.7462 1.0082 2.2961
Pb 1.7462 1.0082 18.2419
CELL_PARAMETERS angstrom
3.4925 0.0000 0.0000
-1.7462 3.0246 0.0000
0.0000 0.0000 30.8070
```

***

iii | Entry from the Alexandria database: a relaxed SiSbPb2 crystal (PBE). Values from VASP.

Structure (Quantum ESPRESSO input):
```
&SYSTEM
  ibrav = 0, nat = 8, ntyp = 3
/
ATOMIC_SPECIES
Si 28.09 Si.upf
Sb 121.76 Sb.upf
Pb 207.20 Pb.upf
ATOMIC_POSITIONS angstrom
Si 0.0000 0.0000 0.0000
Si 2.3030 2.3030 5.1712
Sb 0.0000 2.3030 2.5856
Sb 2.3030 0.0000 7.7567
Pb 0.0000 0.0000 5.1712
Pb 0.0000 2.3030 7.7567
Pb 2.3030 0.0000 2.5856
Pb 2.3030 2.3030 0.0000
CELL_PARAMETERS angstrom
4.6061 0.0000 0.0000
0.0000 4.6061 0.0000
0.0000 0.0000 10.3423
```

***

Least stable of them? ii.

***

i | Entry from the Alexandria database: a relaxed SiSb2Pb crystal (PBE). Values from VASP.

Structure (Quantum ESPRESSO input):
```
&SYSTEM
  ibrav = 0, nat = 8, ntyp = 3
/
ATOMIC_SPECIES
Si 28.09 Si.upf
Sb 121.76 Sb.upf
Pb 207.20 Pb.upf
ATOMIC_POSITIONS angstrom
Si 0.0000 0.0000 0.0000
Si 3.2295 5.3171 0.0000
Sb 1.1022 2.6585 1.5048
Sb 1.1022 7.9756 1.5048
Sb 4.3317 2.6585 1.5048
Sb 4.3317 7.9756 1.5048
Pb 0.0000 5.3171 0.0000
Pb 3.2295 0.0000 0.0000
CELL_PARAMETERS angstrom
6.4590 0.0000 0.0000
0.0000 10.6341 0.0000
-1.0251 0.0000 3.0096
```

***

ii | Entry from the Alexandria database: a relaxed SiSb2Pb crystal (PBE). Values from VASP.

Structure (Quantum ESPRESSO input):
```
&SYSTEM
  ibrav = 0, nat = 4, ntyp = 3
/
ATOMIC_SPECIES
Si 28.09 Si.upf
Sb 121.76 Sb.upf
Pb 207.20 Pb.upf
ATOMIC_POSITIONS angstrom
Si 0.0000 0.0000 0.0000
Sb 0.0000 0.0000 4.1951
Sb 2.0541 2.0541 0.1098
Pb 2.0541 2.0541 3.1362
CELL_PARAMETERS angstrom
4.1082 0.0000 0.0000
0.0000 4.1082 0.0000
0.0000 0.0000 6.8365
```

***

iii | Entry from the Alexandria database: a relaxed SiSb2Pb crystal (PBE). Values from VASP.

Structure (Quantum ESPRESSO input):
```
&SYSTEM
  ibrav = 0, nat = 8, ntyp = 3
/
ATOMIC_SPECIES
Si 28.09 Si.upf
Sb 121.76 Sb.upf
Pb 207.20 Pb.upf
ATOMIC_POSITIONS angstrom
Si 0.0000 0.0000 0.0000
Si 5.8249 1.8693 0.0000
Sb 1.8778 1.8693 0.9242
Sb 1.6643 0.0000 3.8772
Sb 7.7028 0.0000 0.9242
Sb 7.4892 1.8693 3.8772
Pb -1.1414 1.8693 2.4007
Pb 4.6835 0.0000 2.4007
CELL_PARAMETERS angstrom
11.6499 0.0000 0.0000
0.0000 3.7387 0.0000
-2.2828 0.0000 4.8013
```

***

Least stable of them? i.

***

i | Entry from the Alexandria database: a relaxed SiSbPb3 crystal (PBE). Values from VASP.

Structure (Quantum ESPRESSO input):
```
&SYSTEM
  ibrav = 0, nat = 5, ntyp = 3
/
ATOMIC_SPECIES
Si 28.09 Si.upf
Sb 121.76 Sb.upf
Pb 207.20 Pb.upf
ATOMIC_POSITIONS angstrom
Si 0.0000 0.0000 0.0000
Sb 2.9244 2.9244 2.9244
Pb 0.0000 2.9244 2.9244
Pb 2.9244 0.0000 2.9244
Pb 2.9244 2.9244 0.0000
CELL_PARAMETERS angstrom
5.8487 0.0000 0.0000
0.0000 5.8487 0.0000
0.0000 0.0000 5.8487
```

***

ii | Entry from the Alexandria database: a relaxed SiSbPb3 crystal (PBE). Values from VASP.

Structure (Quantum ESPRESSO input):
```
&SYSTEM
  ibrav = 0, nat = 5, ntyp = 3
/
ATOMIC_SPECIES
Si 28.09 Si.upf
Sb 121.76 Sb.upf
Pb 207.20 Pb.upf
ATOMIC_POSITIONS angstrom
Si 0.0000 0.0000 0.0000
Sb 2.7198 2.7198 2.7198
Pb 0.0000 0.0000 2.7198
Pb 0.0000 2.7198 0.0000
Pb 2.7198 0.0000 0.0000
CELL_PARAMETERS angstrom
5.4397 0.0000 0.0000
0.0000 5.4397 0.0000
0.0000 0.0000 5.4397
```

***

Least stable of them? i.

***

i | Entry from the Alexandria database: a relaxed SiSb3Pb crystal (PBE). Values from VASP.

Structure (Quantum ESPRESSO input):
```
&SYSTEM
  ibrav = 0, nat = 5, ntyp = 3
/
ATOMIC_SPECIES
Si 28.09 Si.upf
Sb 121.76 Sb.upf
Pb 207.20 Pb.upf
ATOMIC_POSITIONS angstrom
Si 0.0000 0.0000 0.0000
Sb 0.0000 0.0000 2.6407
Sb 0.0000 2.6407 0.0000
Sb 2.6407 0.0000 0.0000
Pb 2.6407 2.6407 2.6407
CELL_PARAMETERS angstrom
5.2813 0.0000 0.0000
0.0000 5.2813 0.0000
0.0000 0.0000 5.2813
```

***

ii | Entry from the Alexandria database: a relaxed SiSb3Pb crystal (PBE). Values from VASP.

Structure (Quantum ESPRESSO input):
```
&SYSTEM
  ibrav = 0, nat = 5, ntyp = 3
/
ATOMIC_SPECIES
Si 28.09 Si.upf
Sb 121.76 Sb.upf
Pb 207.20 Pb.upf
ATOMIC_POSITIONS angstrom
Si 0.0000 0.0000 0.0000
Sb 0.0000 2.8600 2.8600
Sb 2.8600 0.0000 2.8600
Sb 2.8600 2.8600 0.0000
Pb 2.8600 2.8600 2.8600
CELL_PARAMETERS angstrom
5.7201 0.0000 0.0000
0.0000 5.7201 0.0000
0.0000 0.0000 5.7201
```

***

Least stable of them? ii.

***

i | Entry from the Alexandria database: a relaxed Sm2SbPb crystal (PBE). Values from VASP.

Structure (Quantum ESPRESSO input):
```
&SYSTEM
  ibrav = 0, nat = 12, ntyp = 3
/
ATOMIC_SPECIES
Sm 150.36 Sm.upf
Sb 121.76 Sb.upf
Pb 207.20 Pb.upf
ATOMIC_POSITIONS angstrom
Sm 0.0000 0.0000 0.0000
Sm 0.0000 0.0000 4.5440
Sm 0.0000 2.4548 16.6548
Sm 0.0000 2.4548 21.1987
Sm 2.1260 1.2274 8.3274
Sm 2.1260 1.2274 12.8714
Sb 0.0000 0.0000 14.7896
Sb 0.0000 2.4548 6.4622
Sb 2.1260 1.2274 23.1169
Pb 0.0000 0.0000 10.5755
Pb 0.0000 2.4548 2.2482
Pb 2.1260 1.2274 18.9029
CELL_PARAMETERS angstrom
4.2519 0.0000 0.0000
-2.1260 3.6823 0.0000
0.0000 0.0000 24.9822
```

***

ii | Entry from the Alexandria database: a relaxed Sm2SbPb crystal (PBE). Values from VASP.

Structure (Quantum ESPRESSO input):
```
&SYSTEM
  ibrav = 0, nat = 16, ntyp = 3
/
ATOMIC_SPECIES
Sm 150.36 Sm.upf
Sb 121.76 Sb.upf
Pb 207.20 Pb.upf
ATOMIC_POSITIONS angstrom
Sm 0.0000 1.5531 1.1164
Sm 0.0000 7.7096 1.1164
Sm 0.0000 16.8452 3.3491
Sm 0.0000 23.0017 3.3491
Sm 2.2854 4.5678 3.3491
Sm 2.2854 10.7243 3.3491
Sm 2.2854 13.8305 1.1164
Sm 2.2854 19.9870 1.1164
Sb 0.0000 4.6084 1.1164
Sb 0.0000 19.9464 3.3491
Sb 2.2854 7.6690 3.3491
Sb 2.2854 16.8858 1.1164
Pb 0.0000 11.0868 1.1164
Pb 0.0000 13.4680 3.3491
Pb 2.2854 1.1906 3.3491
Pb 2.2854 23.3642 1.1164
CELL_PARAMETERS angstrom
4.5709 0.0000 0.0000
0.0000 24.5548 0.0000
0.0000 0.0000 4.4655
```

***

Least stable of them? i.